# 1
# Cs2BaNiI6

A relaxed Cs2BaNiI6 crystal (PBE, Alexandria via LeMat-Bulk).

Cell lengths 8.7010, 8.7010, 8.7044 Å; angles 60.01, 60.01, 90.00 degrees
Fractional positions:
Cs (0.7500, 0.2500, 0.5000)
I (0.2745, 0.7255, 0.0000)
I (0.2744, 0.2744, 0.4512)
I (0.2745, 0.2745, 0.0000)
Ba (0.0000, 0.0000, 0.0000)
I (0.7255, 0.2745, 0.0000)
Cs (0.2500, 0.7500, 0.5000)
Ni (0.5000, 0.5000, 0.0000)
I (0.7255, 0.7255, 0.0000)
I (0.7256, 0.7256, 0.5488)

Properties
Space-group type: Fm-3m, No. 225
Volume (Å³/cell): 466.16
Final energy (eV/atom): -2.975

=====

# 2
# CsBa2NpI8

A relaxed CsBa2NpI8 crystal (PBE, Alexandria via LeMat-Bulk).

Cell lengths 7.9625, 7.8394, 10.6778 Å; angles 89.94, 89.98, 90.06 degrees
Fractional positions:
Ba (0.5000, 0.4998, 0.7523)
Cs (0.0000, 0.0000, 0.5000)
I (0.3926, 0.2564, 0.5002)
I (0.6074, 0.7436, 0.4998)
I (0.8517, 0.2390, 0.7957)
I (0.3224, 0.2430, 0.0003)
I (0.1483, 0.7610, 0.2043)
I (0.6776, 0.7570, 0.9997)
Ba (0.5000, 0.5002, 0.2477)
I (0.1491, 0.7617, 0.7960)
Np (0.0000, 0.0000, 0.0000)
I (0.8509, 0.2383, 0.2040)

Properties
Space-group type: P-1, No. 2
Volume (Å³/cell): 666.51
Final energy (eV/atom): -3.904

=====

# 3
# CsBaI2O

A relaxed CsBaI2O crystal (PBE, Alexandria via LeMat-Bulk).

Cell lengths 7.0545, 7.0545, 4.6105 Å; angles 90.00, 90.00, 90.00 degrees
Fractional positions:
O (0.0000, 0.0000, 0.5000)
Ba (0.0000, 0.0000, 0.0000)
Cs (0.5000, 0.5000, 0.5000)
I (0.0000, 0.5000, 0.0000)
I (0.5000, 0.0000, 0.0000)

Properties
E above lowest polymorph (eV/atom): 0.000
Space-group type: P4/mmm, No. 123
Volume (Å³/cell): 229.45

=====

# 4
# Cs2BaI6O

A relaxed Cs2BaI6O crystal (PBE, Alexandria via LeMat-Bulk).

Cell lengths 8.2218, 8.2218, 9.3480 Å; angles 63.91, 63.91, 90.00 degrees
Fractional positions:
I (0.7089, 0.7089, 0.0000)
Cs (0.7500, 0.2500, 0.5000)
I (0.7696, 0.7696, 0.4608)
I (0.2911, 0.2911, 0.0000)
Ba (0.0000, 0.0000, 0.0000)
I (0.2911, 0.7089, 0.0000)
I (0.2304, 0.2304, 0.5392)
I (0.7089, 0.2911, 0.0000)
O (0.5000, 0.5000, 0.0000)
Cs (0.2500, 0.7500, 0.5000)

Properties
Space-group type: I4/mmm, No. 139
Volume (Å³/cell): 494.83
Final energy (eV/atom): -2.663

=====

# 5
# CsBaIO6

A relaxed CsBaIO6 crystal (PBE, Alexandria via LeMat-Bulk).

Cell lengths 6.4048, 6.2547, 5.0208 Å; angles 97.49, 95.01, 55.63 degrees
Fractional positions:
I (0.3337, 0.3494, 0.4445)
O (0.6099, 0.2060, 0.6950)
O (0.5738, 0.0067, 0.2811)
O (0.4545, 0.4865, 0.2402)
O (0.1649, 0.2135, 0.5836)
Cs (0.6486, 0.6859, 0.7545)
O (0.1397, 0.6726, 0.6433)
O (0.0790, 0.3979, 0.1840)
Ba (0.9957, 0.9816, 0.1736)

Properties
Space-group type: P1, No. 1
Volume (Å³/cell): 164.58
Final energy (eV/atom): -4.781

=====

# 6
# CsBaI2O

A relaxed CsBaI2O crystal (PBE, Alexandria via LeMat-Bulk).

Cell lengths 6.8277, 6.8277, 4.6196 Å; angles 90.00, 90.00, 90.00 degrees
Fractional positions:
I (0.0000, 0.5000, 0.0000)
Ba (0.5000, 0.5000, 0.5000)
O (0.0000, 0.0000, 0.5000)
Cs (0.0000, 0.0000, 0.0000)
I (0.5000, 0.0000, 0.0000)

Properties
E above lowest polymorph (eV/atom): 0.600
Space-group type: P4/mmm, No. 123
Volume (Å³/cell): 215.35

=====

# 7
# Cs2BaOsI6

A relaxed Cs2BaOsI6 crystal (PBE, Alexandria via LeMat-Bulk).

Cell lengths 8.6038, 8.6038, 8.6038 Å; angles 60.00, 60.00, 90.00 degrees
Fractional positions:
I (0.7764, 0.2236, 0.0000)
I (0.7764, 0.7764, 0.4473)
Cs (0.7500, 0.2500, 0.5000)
Ba (0.5000, 0.5000, 0.0000)
Os (0.0000, 0.0000, 0.0000)
I (0.2236, 0.2236, 0.5527)
I (0.2236, 0.7764, 0.0000)
Cs (0.2500, 0.7500, 0.5000)
I (0.7764, 0.7764, 0.0000)
I (0.2236, 0.2236, 0.0000)

Properties
Space-group type: Fm-3m, No. 225
Volume (Å³/cell): 450.35
Final energy (eV/atom): -3.322

=====

# 8
# Cs2BaPI6

A relaxed Cs2BaPI6 crystal (PBE, Alexandria via LeMat-Bulk).

Cell lengths 9.0646, 9.0646, 8.8848 Å; angles 59.33, 59.33, 90.00 degrees
Fractional positions:
P (0.5000, 0.5000, 0.0000)
Cs (0.2500, 0.7500, 0.5000)
I (0.7366, 0.7366, 0.0000)
I (0.7240, 0.7240, 0.5519)
Cs (0.7500, 0.2500, 0.5000)
I (0.7366, 0.2634, 0.0000)
I (0.2634, 0.2634, 0.0000)
Ba (0.0000, 0.0000, 0.0000)
I (0.2634, 0.7366, 0.0000)
I (0.2759, 0.2759, 0.4481)

Properties
Space-group type: I4/mmm, No. 139
Volume (Å³/cell): 505.55
Final energy (eV/atom): -2.793

=====

Question: The lowest volume belongs to which entry?
Answer: CsBaIO6

=====

Question: Which value of volume does entry 6 give?
Answer: 215.35 Å³/cell

=====

Question: Which value of volume does entry 6 give?
Answer: 215.35 Å³/cell

=====

Question: volume of number 4 (Cs2BaI6O)?
Answer: 494.83 Å³/cell